# ZrSc2Rh

ZrSc2Rh after structural relaxation (GGA-PBE, Alexandria).

For the energy of formation from the pure elements, the calculation gives -0.270 eV per atom. Its symmetry is F-43m (216). The calculation puts the distance to the lowest polymorph of the same formula at 0.212 eV per atom.

Unit cell a=4.8004 b=4.8004 c=4.8004 alpha=60.00 beta=60.00 gamma=60.00
With the nearest neighbours (Å) after each atom.
Sites, in units of the cell vectors:
Zr (0.0000, 0.0000, 0.0000)  4 Sc 2.94, 4 Rh 2.94
Sc (0.5000, 0.5000, 0.5000)  4 Rh 2.94, 4 Sc 2.94
Sc (0.7500, 0.7500, 0.7500)  4 Sc 2.94, 4 Zr 2.94
Rh (0.2500, 0.2500, 0.2500)  4 Sc 2.94, 4 Zr 2.94